1.
## Y2HoCd3CuAu2 (PBE-GGA)

Data for Y2HoCd3CuAu2 after structural relaxation.

abc: 3.866 13.357 7.732
angles: 90.00 90.00 90.00
Space group Amm2 (No. 38)
One atom of each set of equivalent atoms:
Y 0.000 0.203 0.000 [4 per cell]
Ho 0.000 0.000 0.390 [2 per cell]
Cd 0.500 0.000 0.042 [2 per cell]
Cd 0.500 0.123 0.674 [4 per cell]
Cu 0.000 0.000 0.796 [2 per cell]
Au 0.500 0.165 0.297 [4 per cell]

Calculated values
crystal system = orthorhombic
VASP energy = -71.38 eV per cell
formation enthalpy at 0 K = -583 meV/atom


2.
## SbW2N (PBE-GGA)

Data for SbW2N after structural relaxation.

abc: 3.3962 3.3962 12.2861
angles: 90.00 90.00 120.00
Space group P6_3/mmc (No. 194)
One atom of each set of equivalent atoms:
Sb 0.3333 0.6667 0.2500 [2 per cell]
W 0.3333 0.6667 0.5760 [4 per cell]
N 0.0000 0.0000 0.0000 [2 per cell]

Calculated values
crystal system = hexagonal
VASP energy = -73.25 eV per cell


3.
## ErSn2 (PBE-GGA)

Data for ErSn2 after structural relaxation.

abc: 7.162 7.162 7.162
angles: 90.00 90.00 90.00
Space group Fm-3m (No. 225)
One atom of each set of equivalent atoms:
Er 0.000 0.000 0.000 [4 per cell]
Sn 0.250 0.250 0.250 [8 per cell]

Calculated values
crystal system = cubic
VASP energy = -52.59 eV per cell


4.
## Zr2Ta (PBE-GGA)

Data for Zr2Ta after structural relaxation.

abc: 3.098 15.751 5.239
angles: 90.00 90.00 90.00
Space group Cmcm (No. 63)
One atom of each set of equivalent atoms:
Zr 0.000 0.084 0.250 [4 per cell]
Zr 0.000 0.238 0.750 [4 per cell]
Ta 0.000 0.425 0.250 [4 per cell]

Calculated values
crystal system = orthorhombic
VASP energy = -113.96 eV per cell
formation enthalpy at 0 K = 153 meV/atom


5.
## HfTlCoPt (PBE-GGA)

Data for HfTlCoPt after structural relaxation.

abc: 6.528 6.528 6.528
angles: 90.00 90.00 90.00
Space group F-43m (No. 216)
One atom of each set of equivalent atoms:
Hf 0.000 0.000 0.000 [4 per cell]
Tl 0.250 0.250 0.250 [4 per cell]
Co 0.000 0.000 0.500 [4 per cell]
Pt 0.250 0.250 0.750 [4 per cell]

Calculated values
crystal system = cubic
VASP energy = -102.31 eV per cell


6.
## Tb2HoIn3Ni2Ag (PBE-GGA)

Data for Tb2HoIn3Ni2Ag after structural relaxation.

abc: 3.902 13.080 7.557
angles: 90.00 90.00 90.00
Space group Amm2 (No. 38)
One atom of each set of equivalent atoms:
Tb 0.000 0.206 0.000 [4 per cell]
Ho 0.000 0.000 0.381 [2 per cell]
In 0.500 0.000 0.065 [2 per cell]
In 0.500 0.135 0.657 [4 per cell]
Ni 0.500 0.166 0.294 [4 per cell]
Ag 0.000 0.000 0.793 [2 per cell]

Calculated values
crystal system = orthorhombic
VASP energy = -80.37 eV per cell


Among the records above, which one has the lowest VASP energy?
Zr2Ta


Look up the VASP energy of the sixth one.
-80.37 eV per cell


Repeat the second record exactly.
## SbW2N (PBE-GGA)

Data for SbW2N after structural relaxation.

abc: 3.3962 3.3962 12.2861
angles: 90.00 90.00 120.00
Space group P6_3/mmc (No. 194)
One atom of each set of equivalent atoms:
Sb 0.3333 0.6667 0.2500 [2 per cell]
W 0.3333 0.6667 0.5760 [4 per cell]
N 0.0000 0.0000 0.0000 [2 per cell]

Calculated values
crystal system = hexagonal
VASP energy = -73.25 eV per cell


VASP energy of number 5 (HfTlCoPt)?
-102.31 eV per cell